Here is Er4CS2Cl after structural relaxation from Alexandria via LeMat-Bulk. Energies are from PBE.

Geometry as POSCAR:
```
Er4CS2Cl
1.0
6.529 0.000 0.000
0.000 3.746 0.000
-2.146 0.000 6.416
Er C S Cl
4 1 2 1
Direct
0.219 0.000 0.209
0.242 0.500 0.787
0.758 0.500 0.213
0.781 0.000 0.791
0.000 0.500 0.000
0.500 0.000 0.000
0.500 0.500 0.500
0.000 0.000 0.500
```

Output
space group	P2/m (10)
ρ	8.26	g/cm³
formation energy from raw total energies	-1.465	eV/atom



Here is Er3CSeCl after structural relaxation from Alexandria via LeMat-Bulk. Energies are from PBE.

Geometry as POSCAR:
```
Er3CSeCl
1.0
7.775 0.000 0.000
0.000 3.731 0.000
-0.478 0.000 9.944
Er C Se Cl
6 2 2 2
Direct
0.094 0.250 0.382
0.124 0.250 0.869
0.345 0.750 0.627
0.655 0.250 0.373
0.876 0.750 0.131
0.906 0.750 0.618
0.129 0.250 0.633
0.871 0.750 0.367
0.369 0.750 0.342
0.631 0.250 0.658
0.369 0.750 0.903
0.631 0.250 0.097
```

Output
space group	P2_1/m (11)
ρ	7.23	g/cm³
formation energy from raw total energies	-1.190	eV/atom



Here is Er4CSe2Cl after structural relaxation from Alexandria via LeMat-Bulk. Energies are from PBE.

Geometry as POSCAR:
```
Er4CSe2Cl
1.0
6.797 0.000 0.000
0.000 3.807 0.000
-2.138 0.000 6.494
Er C Se Cl
4 1 2 1
Direct
0.206 0.000 0.204
0.223 0.500 0.781
0.777 0.500 0.219
0.794 0.000 0.796
0.000 0.500 0.000
0.500 0.000 0.000
0.500 0.500 0.500
0.000 0.000 0.500
```

Output
space group	P2/m (10)
ρ	8.64	g/cm³
formation energy from raw total energies	-1.337	eV/atom



Here is TbErCCl after structural relaxation from Alexandria via LeMat-Bulk. Energies are from PBE.

Geometry as POSCAR:
```
TbErCCl
1.0
1.810 1.045 6.861
-1.810 1.045 6.861
0.000 -2.090 6.861
Tb Er C Cl
1 1 1 1
Direct
0.000 0.000 0.000
0.792 0.792 0.792
0.399 0.399 0.399
0.227 0.227 0.227
```

Output
space group	R3m (160)
ρ	7.96	g/cm³
formation energy from raw total energies	-1.089	eV/atom



Here is Er3TlCCl after structural relaxation from Alexandria via LeMat-Bulk. Energies are from PBE.

Geometry as POSCAR:
```
Er3TlCCl
1.0
9.192 0.000 0.000
0.000 3.566 0.000
-1.904 0.000 9.130
Er Tl C Cl
6 2 2 2
Direct
0.077 0.250 0.365
0.338 0.750 0.204
0.371 0.750 0.572
0.629 0.250 0.428
0.662 0.250 0.796
0.923 0.750 0.635
0.339 0.250 0.886
0.661 0.750 0.114
0.343 0.250 0.381
0.657 0.750 0.619
0.044 0.750 0.146
0.956 0.250 0.854
```

Output
space group	P2_1/m (11)
ρ	8.36	g/cm³
formation energy from raw total energies	-0.645	eV/atom



Here is GeC2ClF after structural relaxation from Alexandria via LeMat-Bulk. Energies are from PBE.

Geometry as POSCAR:
```
GeC2ClF
1.0
3.988 0.000 0.000
0.000 3.988 0.000
0.000 0.000 5.167
Ge C Cl F
1 2 1 1
Direct
0.000 0.000 0.000
0.000 0.500 0.500
0.500 0.000 0.500
0.500 0.500 0.000
0.000 0.000 0.500
```

Output
space group	P4/mmm (123)
ρ	3.05	g/cm³
formation energy from raw total energies	2.219	eV/atom



Here is HfCClF2 after structural relaxation from Alexandria via LeMat-Bulk. Energies are from PBE.

Geometry as POSCAR:
```
HfCClF2
1.0
3.708 0.000 0.000
0.000 3.708 0.000
0.000 0.000 5.746
Hf C Cl F
1 1 1 2
Direct
0.000 0.000 0.000
0.500 0.500 0.000
0.000 0.000 0.500
0.000 0.500 0.500
0.500 0.000 0.500
```

Output
space group	P4/mmm (123)
ρ	5.55	g/cm³
formation energy from raw total energies	0.580	eV/atom



Here is HfCCl2F after structural relaxation from Alexandria via LeMat-Bulk. Energies are from PBE.

Geometry as POSCAR:
```
HfCCl2F
1.0
4.332 0.000 0.000
0.000 4.332 0.000
0.000 0.000 4.386
Hf C Cl F
1 1 2 1
Direct
0.000 0.000 0.000
0.000 0.000 0.500
0.000 0.500 0.500
0.500 0.000 0.500
0.500 0.500 0.000
```

Output
space group	P4/mmm (123)
ρ	5.66	g/cm³
formation energy from raw total energies	0.115	eV/atom



Here is InCCl2F after structural relaxation from Alexandria via LeMat-Bulk. Energies are from PBE.

Geometry as POSCAR:
```
InCCl2F
1.0
5.591 0.000 0.000
0.000 5.591 0.000
0.000 0.000 3.419
In C Cl F
1 1 2 1
Direct
0.000 0.000 0.000
0.500 0.500 0.000
0.000 0.500 0.500
0.500 0.000 0.500
0.500 0.500 0.500
```

Output
space group	P4/mmm (123)
ρ	3.37	g/cm³
formation energy from raw total energies	0.781	eV/atom



Here is KCCl2F after structural relaxation from Alexandria via LeMat-Bulk. Energies are from PBE.

Geometry as POSCAR:
```
KCCl2F
1.0
5.953 0.000 0.000
0.000 5.953 0.000
0.000 0.000 3.339
K C Cl F
1 1 2 1
Direct
0.000 0.000 0.000
0.500 0.500 0.000
0.000 0.500 0.500
0.500 0.000 0.500
0.500 0.500 0.500
```

Output
space group	P4/mmm (123)
ρ	1.98	g/cm³
formation energy from raw total energies	0.372	eV/atom



Here is La6C3ClF2 after structural relaxation from Alexandria via LeMat-Bulk. Energies are from PBE.

Geometry as POSCAR:
```
La6C3ClF2
1.0
8.706 -1.916 0.000
8.706 1.916 0.000
-2.398 0.000 7.684
La C Cl F
6 3 1 2
Direct
0.006 0.006 0.222
0.322 0.322 0.432
0.341 0.341 0.897
0.659 0.659 0.103
0.678 0.678 0.568
0.994 0.994 0.778
0.166 0.166 0.331
0.500 0.500 0.000
0.834 0.834 0.669
0.500 0.500 0.500
0.175 0.175 0.846
0.825 0.825 0.154
```

Output
space group	C2/m (12)
ρ	6.11	g/cm³
formation energy from raw total energies	-1.303	eV/atom